(1)
ZrCuMo2 | GGA-PBEsol | optimized geometry

The structure in extended XYZ format:
```
4
Lattice="0.0000 3.1484 3.1484 3.1484 0.0000 3.1484 3.1484 3.1484 0.0000" Properties=species:S:1:pos:R:3 pbc="T T T"
Zr 0.0000 0.0000 0.0000
Cu 3.1484 3.1484 3.1484
Mo 1.5742 1.5742 1.5742
Mo 4.7226 4.7226 4.7226
```

Results
Density of states at the Fermi level = 5.316 states/eV per cell
Mass density = 9222 kg/m³
E_tot = -8.791 eV/atom

***

(2)
NaCuSN2 | GGA-PBEsol | optimized geometry

The structure in extended XYZ format:
```
5
Lattice="4.1423 0.0000 0.0000 0.0000 4.1423 0.0000 0.0000 0.0000 5.1886" Properties=species:S:1:pos:R:3 pbc="T T T"
Na 0.0000 0.0000 0.0000
Cu 2.0712 2.0712 2.5943
S 0.0000 0.0000 2.5943
N 0.0000 2.0712 0.0000
N 2.0712 0.0000 0.0000
```

Results
Density of states at the Fermi level = 2.151 states/eV per cell
Mass density = 2735 kg/m³
Energy relative to the elements, uncorrected = 52.0 kcal/mol of atoms

***

(3)
NbCuN3 | GGA-PBEsol | optimized geometry

The structure in extended XYZ format:
```
5
Lattice="4.0479 0.0000 0.0000 0.0000 4.0479 0.0000 0.0000 0.0000 4.0479" Properties=species:S:1:pos:R:3 pbc="T T T"
Nb 0.0000 0.0000 0.0000
Cu 2.0240 2.0240 2.0240
N 0.0000 0.0000 2.0240
N 0.0000 2.0240 0.0000
N 2.0240 0.0000 0.0000
```

Results
Density of states at the Fermi level = 3.440 states/eV per cell
Mass density = 4969 kg/m³
Energy relative to the elements, uncorrected = 22.0 kcal/mol of atoms